1.
VASP calculation (PBE) on an optimized crystal structure of Co2CuRu. Values from VASP.

Values from the calculation:
**Spin magnetization**: 3.57 Bohr magnetons per cell
**Distance to the lowest polymorph of the same formula**: 46 meV/atom
**Formation energy from the elements**: 0.226 eV/atom
**Uncorrected energy**: -6.67 eV per atom

Quantum ESPRESSO input file:
```
&SYSTEM
  ibrav = 0, nat = 4, ntyp = 3
/
ATOMIC_SPECIES
Co 58.93 Co.upf
Cu 63.55 Cu.upf
Ru 101.07 Ru.upf
ATOMIC_POSITIONS angstrom
Co 1.942 0.000 1.107
Co 5.890 0.000 3.333
Cu -0.362 0.000 2.220
Ru 4.279 0.000 0.000
CELL_PARAMETERS angstrom
4.279 -1.274 0.000
4.279 1.274 0.000
-0.725 0.000 4.441
```

***

2.
VASP calculation (PBE) on an optimized crystal structure of Co2CuRu. Values from VASP.

Values from the calculation:
**Spin magnetization**: 3.47 Bohr magnetons per cell
**Distance to the lowest polymorph of the same formula**: 33 meV/atom
**Formation energy from the elements**: 0.213 eV/atom
**Uncorrected energy**: -6.68 eV per atom

Quantum ESPRESSO input file:
```
&SYSTEM
  ibrav = 0, nat = 4, ntyp = 3
/
ATOMIC_SPECIES
Co 58.93 Co.upf
Cu 63.55 Cu.upf
Ru 101.07 Ru.upf
ATOMIC_POSITIONS angstrom
Co 1.297 1.821 0.000
Co 1.297 -1.821 0.000
Cu 0.000 0.000 1.278
Ru 2.595 0.000 1.278
CELL_PARAMETERS angstrom
2.595 -3.643 0.000
2.595 3.643 0.000
0.000 0.000 2.557
```

***

3.
VASP calculation (PBE) on an optimized crystal structure of CoCuRu2. Values from VASP.

Values from the calculation:
**Spin magnetization**: 1.34 Bohr magnetons per cell
**Distance to the lowest polymorph of the same formula**: 10 meV/atom
**Formation energy from the elements**: 0.214 eV/atom
**Uncorrected energy**: -7.22 eV per atom

Quantum ESPRESSO input file:
```
&SYSTEM
  ibrav = 0, nat = 4, ntyp = 3
/
ATOMIC_SPECIES
Co 58.93 Co.upf
Cu 63.55 Cu.upf
Ru 101.07 Ru.upf
ATOMIC_POSITIONS angstrom
Co 0.000 0.000 0.000
Cu 1.340 1.340 1.672
Ru 0.000 0.000 3.546
Ru 1.340 1.340 5.392
CELL_PARAMETERS angstrom
2.679 0.000 0.000
0.000 2.679 0.000
0.000 0.000 7.146
```

***

4.
VASP calculation (PBE) on an optimized crystal structure of Co2CuRu. Values from VASP.

Values from the calculation:
**Spin magnetization**: 4.09 Bohr magnetons per cell
**Distance to the lowest polymorph of the same formula**: 134 meV/atom
**Formation energy from the elements**: 0.314 eV/atom
**Uncorrected energy**: -6.58 eV per atom

Quantum ESPRESSO input file:
```
&SYSTEM
  ibrav = 0, nat = 4, ntyp = 3
/
ATOMIC_SPECIES
Co 58.93 Co.upf
Cu 63.55 Cu.upf
Ru 101.07 Ru.upf
ATOMIC_POSITIONS angstrom
Co 0.000 0.000 2.120
Co 0.000 0.000 6.468
Cu 1.344 0.000 0.000
Ru 1.344 0.000 4.294
CELL_PARAMETERS angstrom
1.344 -2.162 0.000
1.344 2.162 0.000
0.000 0.000 8.588
```

***

5.
VASP calculation (PBE) on an optimized crystal structure of Co2CuRu. Values from VASP.

Values from the calculation:
**Spin magnetization**: 3.45 Bohr magnetons per cell
**Distance to the lowest polymorph of the same formula**: 23 meV/atom
**Formation energy from the elements**: 0.203 eV/atom
**Uncorrected energy**: -6.69 eV per atom

Quantum ESPRESSO input file:
```
&SYSTEM
  ibrav = 0, nat = 4, ntyp = 3
/
ATOMIC_SPECIES
Co 58.93 Co.upf
Cu 63.55 Cu.upf
Ru 101.07 Ru.upf
ATOMIC_POSITIONS angstrom
Co 0.000 0.000 0.000
Co 6.150 0.000 1.093
Cu 3.833 0.000 2.148
Ru 1.525 0.000 3.351
CELL_PARAMETERS angstrom
4.302 -1.276 0.000
4.302 1.276 0.000
-0.834 0.000 4.397
```

***

6.
VASP calculation (PBE) on an optimized crystal structure of CoCuRu2. Values from VASP.

Values from the calculation:
**Spin magnetization**: 1.12 Bohr magnetons per cell
**Distance to the lowest polymorph of the same formula**: 33 meV/atom
**Formation energy from the elements**: 0.237 eV/atom
**Uncorrected energy**: -7.20 eV per atom

Quantum ESPRESSO input file:
```
&SYSTEM
  ibrav = 0, nat = 4, ntyp = 3
/
ATOMIC_SPECIES
Co 58.93 Co.upf
Cu 63.55 Cu.upf
Ru 101.07 Ru.upf
ATOMIC_POSITIONS angstrom
Co 0.000 0.000 0.000
Cu 1.826 0.000 1.903
Ru 0.000 0.000 3.806
Ru 0.000 1.826 1.903
CELL_PARAMETERS angstrom
-1.826 1.826 3.806
1.826 -1.826 3.806
1.826 1.826 -3.806
```

***

7.
VASP calculation (PBE) on an optimized crystal structure of Co2CuRu. Values from VASP.

Values from the calculation:
**Spin magnetization**: 3.23 Bohr magnetons per cell
**Distance to the lowest polymorph of the same formula**: 21 meV/atom
**Formation energy from the elements**: 0.201 eV/atom
**Uncorrected energy**: -6.70 eV per atom

Quantum ESPRESSO input file:
```
&SYSTEM
  ibrav = 0, nat = 4, ntyp = 3
/
ATOMIC_SPECIES
Co 58.93 Co.upf
Cu 63.55 Cu.upf
Ru 101.07 Ru.upf
ATOMIC_POSITIONS angstrom
Co 0.000 0.000 0.000
Co 1.290 1.290 1.646
Cu 0.000 0.000 3.448
Ru 1.290 1.290 5.420
CELL_PARAMETERS angstrom
2.580 0.000 0.000
0.000 2.580 0.000
0.000 0.000 7.250
```

***

8.
VASP calculation (PBE) on an optimized crystal structure of CoCu3Ru. Values from VASP.

Values from the calculation:
**Spin magnetization**: 3.84 Bohr magnetons per cell
**Distance to the lowest polymorph of the same formula**: 0 meV/atom
**Formation energy from the elements**: 1.306 eV/atom
**Uncorrected energy**: -4.43 eV per atom

Quantum ESPRESSO input file:
```
&SYSTEM
  ibrav = 0, nat = 5, ntyp = 3
/
ATOMIC_SPECIES
Co 58.93 Co.upf
Cu 63.55 Cu.upf
Ru 101.07 Ru.upf
ATOMIC_POSITIONS angstrom
Co 0.000 0.000 0.000
Cu 0.000 0.000 2.142
Cu 0.000 2.142 0.000
Cu 2.142 0.000 0.000
Ru 2.142 2.142 2.142
CELL_PARAMETERS angstrom
4.285 0.000 0.000
0.000 4.285 0.000
0.000 0.000 4.285
```

***

> What is the formula in the fifth record?

Co2CuRu